# Be3TlSn, optimized geometry, DFT PBE
data_Be3TlSn
_chemical_formula_sum 'Be3 Tl1 Sn1'
_symmetry_space_group_name_H-M 'P m -3 m'
_symmetry_Int_Tables_number 221
_symmetry_space_group_name_Hall '-P 4 2 3'
_cell_length_a 4.635
_cell_length_b 4.635
_cell_length_c 4.635
_cell_angle_alpha 90.00
_cell_angle_beta 90.00
_cell_angle_gamma 90.00
loop_
_atom_site_label
_atom_site_fract_x
_atom_site_fract_y
_atom_site_fract_z
Be1 0.000 0.000 0.500
Tl1 0.000 0.000 0.000
Sn1 0.500 0.500 0.500
# * energy relative to the elements: 5.76 eV/f.u.
# * V: 99.59 Å³/f.u.
# * offset from the most stable computed form: 58 meV per atom
# * electronic total energy: -11.8 eV per cell